1.
Below is an optimized crystal structure of MgSc5Pd4, with properties calculated at the PBE level.

Geometry as extended XYZ:
```
10
Lattice="3.302 0.000 0.000 0.000 3.302 0.000 0.000 0.000 17.612" Properties=species:S:1:pos:R:3 pbc="T T T"
Mg 0.000 0.000 0.000
Sc 1.651 1.651 2.160
Sc 1.651 1.651 5.460
Sc 1.651 1.651 8.806
Sc 1.651 1.651 12.153
Sc 1.651 1.651 15.452
Pd 0.000 0.000 3.739
Pd 0.000 0.000 7.112
Pd 0.000 0.000 10.500
Pd 0.000 0.000 13.873
```

Summary:
- E: -6.12 eV/atom

***

2.
Below is an optimized crystal structure of LaZr3Ag, with properties calculated at the PBE level.

Geometry as extended XYZ:
```
5
Lattice="5.134 0.000 0.000 0.000 5.134 0.000 0.000 0.000 5.134" Properties=species:S:1:pos:R:3 pbc="T T T"
La 0.000 0.000 0.000
Zr 0.000 0.000 2.567
Zr 0.000 2.567 0.000
Zr 2.567 0.000 0.000
Ag 2.567 2.567 2.567
```

Summary:
- Polymorph energy (0 for the lowest one): 603.8 meV/atom

***

3.
Below is an optimized crystal structure of SrIr2W, with properties calculated at the PBE level.

Geometry as extended XYZ:
```
4
Lattice="4.876 -1.458 0.000 4.876 1.458 0.000 -1.027 0.000 5.600" Properties=species:S:1:pos:R:3 pbc="T T T"
Sr 0.000 0.000 0.000
Ir 4.235 0.000 2.865
Ir 7.174 0.000 1.490
W 1.449 0.000 3.417
```

Summary:
- Polymorph energy (0 for the lowest one): 293.1 meV/atom

***

4.
Below is an optimized crystal structure of MgRhBr, with properties calculated at the PBE level.

Geometry as extended XYZ:
```
3
Lattice="0.000 3.149 3.149 3.149 0.000 3.149 3.149 3.149 0.000" Properties=species:S:1:pos:R:3 pbc="T T T"
Mg 0.000 0.000 0.000
Rh 1.574 1.574 1.574
Br 4.723 4.723 4.723
```

Summary:
- Polymorph energy (0 for the lowest one): 808.6 meV/atom
- Formation energy without anion corrections: 261 meV per atom

***

5.
Below is an optimized crystal structure of Te2IrI, with properties calculated at the PBE level.

Geometry as extended XYZ:
```
4
Lattice="3.493 -2.016 0.000 3.493 2.016 0.000 -2.454 0.000 7.949" Properties=species:S:1:pos:R:3 pbc="T T T"
Te 1.169 0.000 1.331
Te 3.363 0.000 6.618
Ir 3.493 0.000 0.000
I -1.227 0.000 3.975
```

Summary:
- Polymorph energy (0 for the lowest one): 29.4 meV/atom
- Formation energy without anion corrections: -152 meV per atom

***

6.
Below is an optimized crystal structure of CsCd3O3, with properties calculated at the PBE level.

Geometry as extended XYZ:
```
14
Lattice="3.286 1.897 8.116 -3.286 1.897 8.116 0.000 -3.794 8.116" Properties=species:S:1:pos:R:3 pbc="T T T"
Cs 0.000 0.000 4.078
Cs 0.000 0.000 20.269
Cd -2.082 0.013 9.198
Cd -1.052 -1.796 15.150
Cd 1.029 -1.809 9.198
Cd -1.029 1.809 15.150
Cd 1.052 1.796 9.198
Cd 2.082 -0.013 15.150
O -1.143 -1.976 9.724
O -2.283 0.002 14.623
O -1.139 1.978 9.724
O 1.139 -1.978 14.623
O 2.283 -0.002 9.724
O 1.143 1.976 14.623
```

Summary:
- Formation energy without anion corrections: -882 meV per atom